1.
Computed, not measured: a relaxed Ca5HgPb6 crystal at the PBE level of DFT.

The structure belongs to space group C2/m (No. 12); the cell edges are 10.833, 14.985 and 4.949 Å and the angles 90.00°, 117.15° and 90.00°. The distinct sites, in fractional coordinates, are Ca at (0.000, 0.000, 0.000), Ca at (0.000, 0.174, 0.500), Ca at (0.000, 0.358, 0.000), Hg at (0.000, 0.500, 0.500), Pb at (0.236, 0.000, 0.735) and Pb at (0.245, 0.170, 0.245).

As for the total energy: -3.1512 eV per atom. As for the calculated volume: 714.98 Å³ per cell. The value obtained for the total moment is 0.00 μB per cell. The calculation puts the calculated formation energy at -5.25 eV/f.u.

=====

2.
Computed, not measured: a relaxed Ag2Pb crystal at the PBE level of DFT.

The structure belongs to space group I4/mmm (No. 139); the cell edges are 3.517, 3.517 and 10.740 Å and the angles 90.00°, 90.00° and 90.00°. The distinct sites, in fractional coordinates, are Ag at (0.000, 0.000, 0.182) and Pb at (0.000, 0.000, 0.500).

As for the total energy: -3.0279 eV per atom. As for the calculated volume: 132.87 Å³ per cell. The value obtained for the total moment is 0.00 μB per cell. The calculation puts the calculated formation energy at 0.33 eV/f.u.

=====

3.
Computed, not measured: a relaxed K2UIO8 crystal at the PBE level of DFT.

The structure belongs to space group P2/m (No. 10); the cell edges are 5.668, 6.752 and 5.682 Å and the angles 90.00°, 92.39° and 90.00°. The distinct sites, in fractional coordinates, are K at (0.000, 0.238, 0.000), U at (0.500, 0.500, 0.500), I at (0.500, 0.000, 0.500), O at (0.265, 0.500, 0.265), O at (0.266, 0.000, 0.267) and O at (0.342, 0.214, 0.658).

As for the total energy: -6.0771 eV per atom. As for the calculated volume: 217.25 Å³ per cell. The value obtained for the total moment is 1.04 μB per cell.

=====

4.
Computed, not measured: a relaxed Y2Er3Th3 crystal at the PBE level of DFT.

The structure belongs to space group P-62m (No. 189); the cell edges are 9.0628, 9.0628 and 3.5964 Å and the angles 90.00°, 90.00° and 120.00°. The distinct sites, in fractional coordinates, are Y at (0.3333, 0.6667, 0.0000), Er at (0.0000, 0.3940, 0.5000) and Th at (0.0000, 0.7723, 0.0000).

As for the total energy: -5.9606 eV per atom. As for the calculated volume: 255.83 Å³ per cell. The energy above the most stable polymorph in this dataset is 111.6 meV/atom. The value obtained for the total moment is 0.00 μB per cell. The calculation puts the calculated formation energy at 1.19 eV/f.u.

=====

5.
Computed, not measured: a relaxed BeTlP2 crystal at the PBE level of DFT.

The structure belongs to space group R-3m (No. 166, hexagonal axes); the cell edges are 3.5983, 3.5983 and 19.3537 Å and the angles 90.00°, 90.00° and 120.00°. The distinct sites, in fractional coordinates, are Be at (0.0000, 0.0000, 0.0000), Tl at (0.0000, 0.0000, 0.5000) and P at (0.0000, 0.0000, 0.2842).

As for the total energy: -3.9803 eV per atom. As for the calculated volume: 217.01 Å³ per cell. The energy above the most stable polymorph in this dataset is 185.9 meV/atom. The value obtained for the total moment is 0.00 μB per cell. The calculation puts the calculated formation energy at 0.99 eV/f.u.

=====

6.
Computed, not measured: a relaxed YUMn2 crystal at the PBE level of DFT.

The structure belongs to space group P4/mmm (No. 123); the cell edges are 3.276, 3.276 and 6.913 Å and the angles 90.00°, 90.00° and 90.00°. The distinct sites, in fractional coordinates, are Y at (0.000, 0.000, 0.000), U at (0.000, 0.000, 0.500) and Mn at (0.500, 0.500, 0.308).

As for the total energy: -8.9223 eV per atom. As for the calculated volume: 74.17 Å³ per cell. The energy above the most stable polymorph in this dataset is 78.3 meV/atom. The value obtained for the total moment is 1.59 μB per cell. The calculation puts the calculated formation energy at 0.40 eV/f.u.

=====

7.
Computed, not measured: a relaxed Pr4PtSe2Br crystal at the PBE level of DFT.

The structure belongs to space group P2/m (No. 10); the cell edges are 7.512, 4.155 and 7.552 Å and the angles 90.00°, 108.37° and 90.00°. The distinct sites, in fractional coordinates, are Pr at (0.230, 0.000, 0.238), Pr at (0.233, 0.500, 0.736), Pt at (0.000, 0.500, 0.000), Se at (0.000, 0.000, 0.500), Se at (0.500, 0.500, 0.500) and Br at (0.500, 0.000, 0.000).

As for the total energy: -5.7240 eV per atom. As for the calculated volume: 223.68 Å³ per cell. The value obtained for the total moment is 0.00 μB per cell.

=====

8.
Computed, not measured: a relaxed Rb2LiOsCl6 crystal at the PBE level of DFT.

The structure belongs to space group I4/mmm (No. 139); the cell edges are 7.426, 7.426 and 9.094 Å and the angles 90.00°, 90.00° and 90.00°. The distinct sites, in fractional coordinates, are Rb at (0.000, 0.500, 0.250), Li at (0.000, 0.000, 0.000), Os at (0.000, 0.000, 0.500), Cl at (0.000, 0.000, 0.243) and Cl at (0.228, 0.228, 0.500).

As for the total energy: -3.8366 eV per atom. As for the calculated volume: 501.47 Å³ per cell. The energy above the most stable polymorph in this dataset is 47.1 meV/atom. The value obtained for the total moment is 2.00 μB per cell.

=====

What did the fifth record say?
Computed, not measured: a relaxed BeTlP2 crystal at the PBE level of DFT.

The structure belongs to space group R-3m (No. 166, hexagonal axes); the cell edges are 3.5983, 3.5983 and 19.3537 Å and the angles 90.00°, 90.00° and 120.00°. The distinct sites, in fractional coordinates, are Be at (0.0000, 0.0000, 0.0000), Tl at (0.0000, 0.0000, 0.5000) and P at (0.0000, 0.0000, 0.2842).

As for the total energy: -3.9803 eV per atom. As for the calculated volume: 217.01 Å³ per cell. The energy above the most stable polymorph in this dataset is 185.9 meV/atom. The value obtained for the total moment is 0.00 μB per cell. The calculation puts the calculated formation energy at 0.99 eV/f.u.